# Cu17Pb

A relaxed structure of Cu17Pb (GGA-PBE, the Open Quantum Materials Database).

Values from the calculation:
* calculated total energy: -65.57 eV per formula unit

Cell and atoms, written as CIF:
```
data_Cu17Pb
_chemical_formula_sum 'Cu34 Pb2'
_symmetry_space_group_name_H-M 'P 1 21/m 1'
_symmetry_Int_Tables_number 11
_cell_length_a 4.414
_cell_length_b 5.097
_cell_length_c 31.425
_cell_angle_alpha 90.00
_cell_angle_beta 90.13
_cell_angle_gamma 90.00
loop_
_symmetry_equiv_pos_as_xyz
'x,y,z'
'-x,-y,-z'
'-x,y+1/2,-z'
'x,-y+1/2,z'
loop_
_atom_site_label
_atom_site_type_symbol
_atom_site_fract_x
_atom_site_fract_y
_atom_site_fract_z
_atom_site_occupancy
Cu1 Cu 0.000 0.000 0.000 1
Cu2 Cu 0.002 0.004 0.199 1
Cu3 Cu 0.165 0.250 0.867 1
Cu4 Cu 0.166 0.250 0.066 1
Cu5 Cu 0.166 0.750 0.264 1
Cu6 Cu 0.167 0.750 0.066 1
Cu7 Cu 0.168 0.750 0.868 1
Cu8 Cu 0.333 0.000 0.132 1
Cu9 Cu 0.333 0.001 0.934 1
Cu10 Cu 0.334 0.004 0.736 1
Cu11 Cu 0.497 0.250 0.199 1
Cu12 Cu 0.499 0.750 0.198 1
Cu13 Cu 0.500 0.250 0.000 1
Pb1 Pb 0.166 0.250 0.298 1
```

***

# Cu8Pb

A relaxed structure of Cu8Pb (GGA-PBE, the Open Quantum Materials Database).

Values from the calculation:
* calculated total energy: -32.82 eV per formula unit

Cell and atoms, written as CIF:
```
data_Cu8Pb
_chemical_formula_sum 'Cu32 Pb4'
_symmetry_space_group_name_H-M 'C 1 2/m 1'
_symmetry_Int_Tables_number 12
_cell_length_a 7.986
_cell_length_b 3.573
_cell_length_c 27.540
_cell_angle_alpha 90.00
_cell_angle_beta 90.52
_cell_angle_gamma 90.00
loop_
_symmetry_equiv_pos_as_xyz
'x,y,z'
'-x,-y,-z'
'-x,y,-z'
'x,-y,z'
'x+1/2,y+1/2,z'
'-x+1/2,-y+1/2,-z'
'-x+1/2,y+1/2,-z'
'x+1/2,-y+1/2,z'
loop_
_atom_site_label
_atom_site_type_symbol
_atom_site_fract_x
_atom_site_fract_y
_atom_site_fract_z
_atom_site_occupancy
Cu1 Cu 0.044 0.000 0.397 1
Cu2 Cu 0.048 0.000 0.693 1
Cu3 Cu 0.054 0.500 0.544 1
Cu4 Cu 0.148 0.500 0.337 1
Cu5 Cu 0.149 0.000 0.485 1
Cu6 Cu 0.153 0.500 0.633 1
Cu7 Cu 0.244 0.500 0.426 1
Cu8 Cu 0.245 0.500 0.721 1
Pb1 Pb 0.053 0.500 0.226 1
```

***

# CuPdPb

A relaxed structure of CuPdPb (GGA-PBE, the Open Quantum Materials Database).

Values from the calculation:
* relative energy among the computed polymorphs: 0 meV/atom
* calculated total energy: -12.49 eV per formula unit

Cell and atoms, written as CIF:
```
data_CuPdPb
_chemical_formula_sum 'Cu4 Pd4 Pb4'
_symmetry_space_group_name_H-M 'F -4 3 m'
_symmetry_Int_Tables_number 216
_symmetry_space_group_name_Hall 'F -4 2 3'
_cell_length_a 6.272
_cell_length_b 6.272
_cell_length_c 6.272
_cell_angle_alpha 90.00
_cell_angle_beta 90.00
_cell_angle_gamma 90.00
loop_
_atom_site_label
_atom_site_type_symbol
_atom_site_fract_x
_atom_site_fract_y
_atom_site_fract_z
_atom_site_occupancy
Cu1 Cu 0.000 0.000 0.000 1
Pd1 Pd 0.250 0.250 0.250 1
Pb1 Pb 0.000 0.000 0.500 1
```

***

# CuPdPb2

A relaxed structure of CuPdPb2 (GGA-PBE, the Open Quantum Materials Database).

Values from the calculation:
* calculated total energy: -15.21 eV per formula unit

Cell and atoms, written as CIF:
```
data_CuPdPb2
_chemical_formula_sum 'Cu4 Pd4 Pb8'
_symmetry_space_group_name_H-M 'F -4 3 m'
_symmetry_Int_Tables_number 216
_symmetry_space_group_name_Hall 'F -4 2 3'
_cell_length_a 7.040
_cell_length_b 7.040
_cell_length_c 7.040
_cell_angle_alpha 90.00
_cell_angle_beta 90.00
_cell_angle_gamma 90.00
loop_
_atom_site_label
_atom_site_type_symbol
_atom_site_fract_x
_atom_site_fract_y
_atom_site_fract_z
_atom_site_occupancy
Cu1 Cu 0.000 0.000 0.000 1
Pd1 Pd 0.250 0.250 0.750 1
Pb1 Pb 0.000 0.000 0.500 1
Pb2 Pb 0.250 0.250 0.250 1
```

***

# Cu2PdPb

A relaxed structure of Cu2PdPb (GGA-PBE, the Open Quantum Materials Database).

Values from the calculation:
* calculated total energy: -16.07 eV per formula unit

Cell and atoms, written as CIF:
```
data_Cu2PdPb
_chemical_formula_sum 'Cu8 Pd4 Pb4'
_symmetry_space_group_name_H-M 'F -4 3 m'
_symmetry_Int_Tables_number 216
_symmetry_space_group_name_Hall 'F -4 2 3'
_cell_length_a 6.393
_cell_length_b 6.393
_cell_length_c 6.393
_cell_angle_alpha 90.00
_cell_angle_beta 90.00
_cell_angle_gamma 90.00
loop_
_atom_site_label
_atom_site_type_symbol
_atom_site_fract_x
_atom_site_fract_y
_atom_site_fract_z
_atom_site_occupancy
Cu1 Cu 0.000 0.000 0.000 1
Cu2 Cu 0.250 0.250 0.250 1
Pd1 Pd 0.250 0.250 0.750 1
Pb1 Pb 0.000 0.000 0.500 1
```

***

# CuPd3Pb5

A relaxed structure of CuPd3Pb5 (GGA-PBE, the Open Quantum Materials Database).

Values from the calculation:
* calculated total energy: -37.29 eV per formula unit

Cell and atoms, written as CIF:
```
data_CuPd3Pb5
_chemical_formula_sum 'Cu1 Pd3 Pb5'
_symmetry_space_group_name_H-M 'P 6/m m m'
_symmetry_Int_Tables_number 191
_symmetry_space_group_name_Hall '-P 6 2'
_cell_length_a 5.6940
_cell_length_b 5.6940
_cell_length_c 8.0674
_cell_angle_alpha 90.00
_cell_angle_beta 90.00
_cell_angle_gamma 120.00
loop_
_atom_site_label
_atom_site_type_symbol
_atom_site_fract_x
_atom_site_fract_y
_atom_site_fract_z
_atom_site_occupancy
Cu1 Cu 0.0000 0.0000 0.0000 1
Pd1 Pd 0.0000 0.5000 0.5000 1
Pb1 Pb 0.0000 0.0000 0.5000 1
Pb2 Pb 0.3333 0.6667 0.1981 1
```

***

# CuPdPtPb

A relaxed structure of CuPdPtPb (GGA-PBE, the Open Quantum Materials Database).

Values from the calculation:
* calculated total energy: -18.70 eV per formula unit

Cell and atoms, written as CIF:
```
data_CuPdPtPb
_chemical_formula_sum 'Cu4 Pd4 Pt4 Pb4'
_symmetry_space_group_name_H-M 'F -4 3 m'
_symmetry_Int_Tables_number 216
_symmetry_space_group_name_Hall 'F -4 2 3'
_cell_length_a 6.483
_cell_length_b 6.483
_cell_length_c 6.483
_cell_angle_alpha 90.00
_cell_angle_beta 90.00
_cell_angle_gamma 90.00
loop_
_atom_site_label
_atom_site_type_symbol
_atom_site_fract_x
_atom_site_fract_y
_atom_site_fract_z
_atom_site_occupancy
Cu1 Cu 0.000 0.000 0.000 1
Pd1 Pd 0.000 0.000 0.500 1
Pt1 Pt 0.250 0.250 0.250 1
Pb1 Pb 0.250 0.250 0.750 1
```

***

# CuTcPdPb

A relaxed structure of CuTcPdPb (GGA-PBE, the Open Quantum Materials Database).

Values from the calculation:
* relative energy among the computed polymorphs: 0 meV/atom
* calculated total energy: -21.38 eV per formula unit

Cell and atoms, written as CIF:
```
data_CuTcPdPb
_chemical_formula_sum 'Cu4 Tc4 Pd4 Pb4'
_symmetry_space_group_name_H-M 'F -4 3 m'
_symmetry_Int_Tables_number 216
_symmetry_space_group_name_Hall 'F -4 2 3'
_cell_length_a 6.451
_cell_length_b 6.451
_cell_length_c 6.451
_cell_angle_alpha 90.00
_cell_angle_beta 90.00
_cell_angle_gamma 90.00
loop_
_atom_site_label
_atom_site_type_symbol
_atom_site_fract_x
_atom_site_fract_y
_atom_site_fract_z
_atom_site_occupancy
Cu1 Cu 0.000 0.000 0.000 1
Tc1 Tc 0.000 0.000 0.500 1
Pd1 Pd 0.250 0.250 0.250 1
Pb1 Pb 0.250 0.250 0.750 1
```